No. 1
VASP calculation (PBE) on a relaxed CoAu crystal.

Results
* DFT formation energy: 0.167 eV/atom
* DOS at the Fermi energy: 15.34 states/eV/cell

a b c (Å): 9.354 9.354 2.755
angles (deg): 90.00 90.00 90.00
Last column: magnetic moment on the atom in μB.
Element x y z (fractional)
Co 0.541 0.143 0.000  1.81
Co 0.459 0.857 0.000  1.81
Co 0.857 0.541 0.000  1.81
Co 0.143 0.459 0.000  1.81
Co 0.041 0.643 0.500  1.81
Co 0.959 0.357 0.500  1.81
Co 0.357 0.041 0.500  1.81
Co 0.643 0.959 0.500  1.81
Au 0.168 0.867 0.000  0.03
Au 0.832 0.133 0.000  0.03
Au 0.133 0.168 0.000  0.03
Au 0.867 0.832 0.000  0.03
Au 0.668 0.367 0.500  0.03
Au 0.332 0.633 0.500  0.03
Au 0.633 0.668 0.500  0.03
Au 0.367 0.332 0.500  0.03

=====

No. 2
VASP calculation (PBE) on a relaxed CoAu crystal.

Results
* DFT formation energy: 1.157 eV/atom
* DOS at the Fermi energy: 25.30 states/eV/cell

a b c (Å): 6.933 6.933 6.933
angles (deg): 90.00 90.00 90.00
Last column: magnetic moment on the atom in μB.
Element x y z (fractional)
Co 0.250 0.000 0.500  1.98
Co 0.750 0.000 0.500  1.98
Co 0.000 0.500 0.250  1.98
Co 0.000 0.500 0.750  1.98
Co 0.500 0.250 0.000  1.98
Co 0.500 0.750 0.000  1.98
Au 0.250 0.500 0.000  0.16
Au 0.750 0.500 0.000  0.16
Au 0.500 0.000 0.250  0.16
Au 0.500 0.000 0.750  0.16
Au 0.000 0.250 0.500  0.16
Au 0.000 0.750 0.500  0.16

=====

No. 3
VASP calculation (PBE) on a relaxed Co5Au crystal.

Results
* polymorph energy (0 for the lowest one): 14.5 meV/atom
* DFT formation energy: 0.135 eV/atom
* DOS at the Fermi energy: 5.04 states/eV/cell

a b c (Å): 6.987 6.987 4.121
angles (deg): 90.00 90.00 158.60
Last column: magnetic moment on the atom in μB.
Element x y z (fractional)
Co 0.224 0.776 0.500  1.66
Co 0.324 0.676 0.000  1.67
Co 0.572 0.428 0.500  1.73
Co 0.674 0.326 0.000  1.66
Co 0.877 0.123 0.500  1.71
Au 0.997 0.003 0.000  0.06

=====

No. 4
VASP calculation (PBE) on a relaxed Co4Au crystal.

Results
* polymorph energy (0 for the lowest one): 196.8 meV/atom
* DFT formation energy: 0.336 eV/atom
* DOS at the Fermi energy: 4.37 states/eV/cell

a b c (Å): 5.802 5.802 5.802
angles (deg): 144.14 144.14 51.61
Last column: magnetic moment on the atom in μB.
Element x y z (fractional)
Co 0.750 0.250 0.500  1.76
Co 0.392 0.392 0.000  1.76
Co 0.608 0.608 0.000  1.76
Co 0.250 0.750 0.500  1.76
Au 0.000 0.000 0.000  0.04

=====

No. 5
VASP calculation (PBE) on a relaxed CoAu crystal.

Results
* DFT formation energy: 0.251 eV/atom
* DOS at the Fermi energy: 14.31 states/eV/cell

a b c (Å): 4.393 8.136 4.960
angles (deg): 90.00 90.00 90.00
Last column: magnetic moment on the atom in μB.
Element x y z (fractional)
Co 0.500 0.850 0.500  1.83
Co 0.500 0.150 0.500  1.83
Co 0.500 0.350 0.000  1.83
Co 0.500 0.650 0.000  1.83
Co 0.000 0.000 0.652  1.81
Co 0.000 0.500 0.152  1.81
Au 0.000 0.325 0.689  0.04
Au 0.000 0.675 0.689  0.04
Au 0.000 0.825 0.189  0.04
Au 0.000 0.175 0.189  0.04
Au 0.500 0.000 0.972  0.03
Au 0.500 0.500 0.472  0.03

=====

No. 6
VASP calculation (PBE) on a relaxed CoAu crystal.

Results
* DFT formation energy: 0.231 eV/atom
* DOS at the Fermi energy: 4.15 states/eV/cell

a b c (Å): 4.897 4.897 4.897
angles (deg): 138.76 129.13 67.48
Last column: magnetic moment on the atom in μB.
Element x y z (fractional)
Au 0.988 0.988 0.000  0.02
Au 0.262 0.762 0.500  0.02
Co 0.526 0.526 0.000  1.83
Co 0.724 0.224 0.500  1.83

=====

No. 7
VASP calculation (PBE) on a relaxed Co2Au crystal.

Results
* DFT formation energy: 0.923 eV/atom
* DOS at the Fermi energy: 13.51 states/eV/cell

a b c (Å): 5.914 5.914 5.914
angles (deg): 90.00 90.00 90.00
Last column: magnetic moment on the atom in μB.
Element x y z (fractional)
Co 0.105 0.605 0.895  1.92
Co 0.105 0.895 0.395  1.92
Co 0.395 0.105 0.895  1.92
Co 0.395 0.395 0.395  1.92
Co 0.605 0.605 0.605  1.92
Co 0.605 0.895 0.105  1.92
Co 0.895 0.105 0.605  1.92
Co 0.895 0.395 0.105  1.92
Au 0.000 0.000 0.000  0.12
Au 0.000 0.500 0.500  0.12
Au 0.500 0.000 0.500  0.12
Au 0.500 0.500 0.000  0.12

=====

No. 8
VASP calculation (PBE) on a relaxed Co2Au crystal.

Results
* DFT formation energy: 0.176 eV/atom
* DOS at the Fermi energy: 5.21 states/eV/cell

a b c (Å): 5.946 5.946 3.877
angles (deg): 90.00 90.00 143.85
Last column: magnetic moment on the atom in μB.
Element x y z (fractional)
Co 0.605 0.395 0.250  1.80
Co 0.395 0.605 0.750  1.80
Co 0.247 0.753 0.250  1.78
Co 0.753 0.247 0.750  1.78
Au 0.913 0.087 0.250  0.06
Au 0.087 0.913 0.750  0.06

=====

No. 9
VASP calculation (PBE) on a relaxed CoAu4 crystal.

Results
* polymorph energy (0 for the lowest one): 331.4 meV/atom
* DFT formation energy: 0.498 eV/atom
* DOS at the Fermi energy: 4.52 states/eV/cell

a b c (Å): 7.466 7.466 7.466
angles (deg): 150.90 150.90 41.62
Last column: magnetic moment on the atom in μB.
Element x y z (fractional)
Co 0.000 0.000 0.000  2.09
Au 0.250 0.750 0.500  0.00
Au 0.594 0.594 0.000  0.03
Au 0.406 0.406 0.000  0.03
Au 0.750 0.250 0.500  0.00

=====

No. 10
VASP calculation (PBE) on a relaxed Co5Au3 crystal.

Results
* polymorph energy (0 for the lowest one): 78.7 meV/atom
* DFT formation energy: 0.354 eV/atom
* DOS at the Fermi energy: 18.23 states/eV/cell

a b c (Å): 7.780 7.780 4.447
angles (deg): 90.00 90.00 120.00
Last column: magnetic moment on the atom in μB.
Element x y z (fractional)
Co 0.000 0.180 0.250  1.89
Co 0.000 0.820 0.750  1.89
Co 0.180 0.000 0.250  1.89
Co 0.180 0.180 0.750  1.89
Co 0.333 0.667 0.000  1.78
Co 0.333 0.667 0.500  1.78
Co 0.667 0.333 0.000  1.78
Co 0.667 0.333 0.500  1.78
Co 0.820 0.000 0.750  1.89
Co 0.820 0.820 0.250  1.89
Au 0.000 0.387 0.750  0.07
Au 0.000 0.613 0.250  0.07
Au 0.387 0.000 0.750  0.07
Au 0.387 0.387 0.250  0.07
Au 0.613 0.000 0.250  0.07
Au 0.613 0.613 0.750  0.07

=====

No. 11
VASP calculation (PBE) on a relaxed CoAu3 crystal.

Results
* DFT formation energy: 0.228 eV/atom
* DOS at the Fermi energy: 5.26 states/eV/cell

a b c (Å): 5.610 5.610 5.610
angles (deg): 150.80 128.55 60.26
Last column: magnetic moment on the atom in μB.
Element x y z (fractional)
Au 0.268 0.268 0.000  0.00
Au 0.732 0.732 0.000  0.00
Au 0.000 0.500 0.500  0.00
Co 0.500 0.000 0.500  1.83

=====

No. 12
VASP calculation (PBE) on a relaxed Co2Au crystal.

Results
* DFT formation energy: 0.246 eV/atom
* DOS at the Fermi energy: 2.36 states/eV/cell

a b c (Å): 4.134 4.134 2.733
angles (deg): 90.00 90.00 120.00
Last column: magnetic moment on the atom in μB.
Element x y z (fractional)
Co 0.333 0.667 0.000  1.71
Co 0.667 0.333 0.000  1.71
Au 0.000 0.000 0.500  0.00

=====

No. 13
VASP calculation (PBE) on a relaxed Co5Au4 crystal.

Results
* DFT formation energy: 0.178 eV/atom
* DOS at the Fermi energy: 8.42 states/eV/cell

a b c (Å): 6.075 6.075 6.075
angles (deg): 95.85 95.85 142.76
Last column: magnetic moment on the atom in μB.
Element x y z (fractional)
Co 0.000 0.000 0.000  1.83
Co 0.350 0.350 0.700  1.82
Co 0.350 0.650 0.000  1.82
Co 0.650 0.350 0.000  1.82
Co 0.650 0.650 0.300  1.82
Au 0.000 0.317 0.317  0.05
Au 0.000 0.683 0.683  0.05
Au 0.317 0.000 0.317  0.05
Au 0.683 0.000 0.683  0.05

=====

No. 14
VASP calculation (PBE) on a relaxed CoAu crystal.

Results
* DFT formation energy: 0.250 eV/atom
* DOS at the Fermi energy: 8.65 states/eV/cell

a b c (Å): 4.477 4.857 5.389
angles (deg): 90.00 90.00 90.00
Last column: magnetic moment on the atom in μB.
Element x y z (fractional)
Co 0.250 0.080 0.626  1.79
Co 0.750 0.420 0.126  1.79
Co 0.250 0.580 0.874  1.79
Co 0.750 0.920 0.374  1.79
Au 0.250 0.108 0.123  0.03
Au 0.750 0.392 0.623  0.03
Au 0.250 0.608 0.377  0.03
Au 0.750 0.892 0.877  0.03

=====

No. 15
VASP calculation (PBE) on a relaxed CoAu3 crystal.

Results
* DFT formation energy: 0.198 eV/atom
* DOS at the Fermi energy: 3.90 states/eV/cell

a b c (Å): 9.267 9.267 9.267
angles (deg): 18.00 18.00 18.00
Last column: magnetic moment on the atom in μB.
Element x y z (fractional)
Au 0.007 0.007 0.007  0.01
Au 0.250 0.250 0.250  0.00
Au 0.493 0.493 0.493  0.01
Co 0.750 0.750 0.750  1.87

=====

No. 16
VASP calculation (PBE) on a relaxed Co5Au3 crystal.

Results
* polymorph energy (0 for the lowest one): 0.0 meV/atom
* DFT formation energy: 0.275 eV/atom
* DOS at the Fermi energy: 17.93 states/eV/cell

a b c (Å): 4.579 7.608 7.493
angles (deg): 103.41 106.23 71.05
Last column: magnetic moment on the atom in μB.
Element x y z (fractional)
Au 0.182 0.104 0.463  0.06
Au 0.332 0.918 0.081  0.04
Au 0.323 0.463 0.105  0.06
Au 0.678 0.537 0.897  0.06
Au 0.668 0.082 0.919  0.04
Au 0.819 0.896 0.538  0.06
Co 0.041 0.694 0.800  1.81
Co 0.306 0.749 0.363  1.77
Co 0.250 0.500 0.501  1.77
Co 0.191 0.363 0.749  1.77
Co 0.436 0.799 0.694  1.81
Co 0.565 0.200 0.306  1.81
Co 0.809 0.637 0.252  1.77
Co 0.750 0.500 0.500  1.77
Co 0.695 0.252 0.637  1.77
Co 0.960 0.306 0.201  1.81

=====

No. 17
VASP calculation (PBE) on a relaxed CoAu crystal.

Results
* DFT formation energy: 0.295 eV/atom
* DOS at the Fermi energy: 3.88 states/eV/cell

a b c (Å): 2.766 4.454 4.820
angles (deg): 90.00 90.00 90.00
Last column: magnetic moment on the atom in μB.
Element x y z (fractional)
Au 0.000 0.000 0.028  0.02
Au 0.500 0.500 0.805  0.02
Co 0.000 0.500 0.337  1.80
Co 0.500 0.000 0.497  1.80

=====

No. 18
VASP calculation (PBE) on a relaxed CoAu crystal.

Results
* DFT formation energy: 1.124 eV/atom
* DOS at the Fermi energy: 2.13 states/eV/cell

a b c (Å): 3.982 3.982 3.982
angles (deg): 60.00 60.00 60.00
Last column: magnetic moment on the atom in μB.
Element x y z (fractional)
Au 0.000 0.000 0.000  0.20
Co 0.250 0.250 0.250  2.03

=====

No. 19
VASP calculation (PBE) on a relaxed CoAu3 crystal.

Results
* DFT formation energy: 0.224 eV/atom
* DOS at the Fermi energy: 12.16 states/eV/cell

a b c (Å): 4.705 4.906 5.738
angles (deg): 90.00 90.00 90.00
Last column: magnetic moment on the atom in μB.
Element x y z (fractional)
Co 0.000 0.335 0.000  1.86
Co 0.500 0.665 0.500  1.86
Au 0.500 0.653 0.000  0.01
Au 0.000 0.834 0.248  0.01
Au 0.500 0.166 0.252  0.01
Au 0.000 0.347 0.500  0.01
Au 0.000 0.834 0.752  0.01
Au 0.500 0.166 0.748  0.01

=====

No. 20
VASP calculation (PBE) on a relaxed CoAu3 crystal.

Results
* DFT formation energy: 0.230 eV/atom
* DOS at the Fermi energy: 4.80 states/eV/cell

a b c (Å): 4.950 4.950 2.845
angles (deg): 90.00 90.00 107.88
Last column: magnetic moment on the atom in μB.
Element x y z (fractional)
Au 0.000 0.000 0.000  -0.01
Au 0.000 0.500 0.500  0.00
Au 0.500 0.000 0.500  0.00
Co 0.500 0.500 0.000  1.86

=====

no.,calculated total energy (eV/f.u.)
1,-10.05
2,-8.07
3,-38.00
4,-30.02
5,-9.88
6,-9.92
7,-14.72
8,-16.96
9,-17.73
10,-42.53
11,-16.03
12,-16.75
13,-47.04
14,-9.88
15,-16.14
16,-43.16
17,-9.79
18,-8.14
19,-16.04
20,-16.02